[1]
The following is a DFT calculation (GGA-PBE) of Hf2InI after structural relaxation.

Structure (extended XYZ):
```
4
Lattice="0.0000 3.5757 3.5757 3.5757 0.0000 3.5757 3.5757 3.5757 0.0000" Properties=species:S:1:pos:R:3 pbc="T T T"
Hf 1.7879 1.7879 1.7879
Hf 5.3636 5.3636 5.3636
I 3.5757 3.5757 3.5757
In 0.0000 0.0000 0.0000
```

Properties
space group = No. 225
density = 10.87 g/cm3
excess energy over the best structure of this formula in the dataset = 0 meV/atom
formation energy (no corrections) = 0.2402 eV per atom

=====

[2]
The following is a DFT calculation (GGA-PBE) of BaNaInP2 after structural relaxation.

Structure (extended XYZ):
```
10
Lattice="-2.4949 -3.7355 0.2425 6.5183 -1.8942 -3.8421 3.3845 -1.7140 8.4181" Properties=species:S:1:pos:R:3 pbc="T T T"
P 0.8821 -3.1599 2.1261
P 3.0548 -4.8779 -1.9852
P 6.5257 -4.1837 2.6924
P 4.3531 -2.4657 6.8037
Ba 2.2820 -3.9142 4.9099
Ba 5.1258 -3.4295 -0.0914
Na 6.3988 -3.9187 5.4692
Na 1.0090 -3.4250 -0.6508
In 6.2496 -6.6403 3.7362
In 1.1582 -0.7033 1.0822
```

Properties
calculated formation energy = -0.533 eV per atom
space group = No. 12
density = 3.63 g/cm3

=====

[3]
The following is a DFT calculation (GGA-PBE) of InSb2Te after structural relaxation.

Structure (extended XYZ):
```
4
Lattice="3.1833 0.0506 0.0000 -0.7566 3.0924 0.0000 0.0000 0.0000 11.3939" Properties=species:S:1:pos:R:3 pbc="T T T"
In 1.2133 1.5715 8.5454
Sb 0.0000 0.0000 5.8821
Sb 0.0000 0.0000 11.2087
Te 1.2133 1.5715 2.8485
```

Properties
space group = No. 65
density = 7.17 g/cm3
excess energy over the best structure of this formula in the dataset = 280 meV/atom
formation energy (no corrections) = 0.1933 eV per atom

=====

[4]
The following is a DFT calculation (GGA-PBE) of HgPPt3 after structural relaxation.

Structure (extended XYZ):
```
5
Lattice="-1.0806 0.8376 3.7110 3.7238 -0.5507 1.2136 2.4536 5.7047 1.5478" Properties=species:S:1:pos:R:3 pbc="T T T"
P 4.6494 3.2255 2.1238
Hg 0.2023 0.2182 1.4970
Pt 2.5369 2.2633 1.7231
Pt 1.5561 0.5228 3.9317
Pt 3.8586 2.4066 4.1853
```

Properties
calculated formation energy = -0.271 eV per atom
space group = No. 8
density = 15.08 g/cm3
excess energy over the best structure of this formula in the dataset = 0 meV/atom

=====

> The highest density belongs to which entry?

HgPPt3

=====

Repeat the fourth record exactly.
The following is a DFT calculation (GGA-PBE) of HgPPt3 after structural relaxation.

Structure (extended XYZ):
```
5
Lattice="-1.0806 0.8376 3.7110 3.7238 -0.5507 1.2136 2.4536 5.7047 1.5478" Properties=species:S:1:pos:R:3 pbc="T T T"
P 4.6494 3.2255 2.1238
Hg 0.2023 0.2182 1.4970
Pt 2.5369 2.2633 1.7231
Pt 1.5561 0.5228 3.9317
Pt 3.8586 2.4066 4.1853
```

Properties
calculated formation energy = -0.271 eV per atom
space group = No. 8
density = 15.08 g/cm3
excess energy over the best structure of this formula in the dataset = 0 meV/atom

=====

> Look up the density of the third one.

7.17 g/cm3

=====

> Which of these has the highest density?

HgPPt3